Record 1
16
Lattice="8.815 0.000 0.000 0.000 7.667 0.000 0.000 0.000 7.189" Properties=species:S:1:pos:R:3 comment="Cd3GeSe4 | the Alexandria database | GGA-PBE | optimized geometry" spacegroup="Pmn2_1 (31)" formation_energy_uncorrected_mev_per_atom=-456 pbc="T T T"
Cd 0.000 1.296 0.000
Cd 2.196 5.097 0.005
Cd 2.211 2.570 3.599
Cd 4.407 6.371 3.595
Cd 6.603 2.570 3.599
Cd 6.619 5.097 0.005
Ge 0.000 6.406 3.606
Ge 4.407 1.261 0.012
Se 0.000 1.334 4.499
Se 0.000 6.408 0.855
Se 2.181 2.567 0.907
Se 2.227 5.100 4.502
Se 4.407 1.259 4.450
Se 4.407 6.332 0.905
Se 6.588 5.100 4.502
Se 6.634 2.567 0.907

=====

Record 2
11
Lattice="-3.250 3.250 8.484 3.250 -3.250 8.484 3.250 3.250 -8.484" Properties=species:S:1:pos:R:3 comment="TbDy6Er4 | the Alexandria database | GGA-PBE | optimized geometry" dos_ef_per_ev_atom=1.311 spacegroup="I-42m (121)" delta_e_f_kj_per_mol_fu=332.3 polymorph_energy_mev_per_atom=185 pbc="T T T"
Tb 0.000 0.000 0.000
Dy 3.250 0.000 0.000
Dy 2.035 -2.035 5.539
Dy 1.215 1.215 2.946
Dy 0.000 3.250 0.000
Dy -2.035 2.035 5.539
Dy 2.035 2.035 11.430
Er 2.083 2.083 -2.232
Er 1.167 -1.167 10.716
Er 1.167 1.167 6.252
Er -1.167 1.167 10.716